The following is a DFT calculation (PBE) of SrYCr after structural relaxation.

Computed properties:
The formation energy is 0.46 eV per atom. For the distance to the lowest polymorph of the same formula, the calculation gives 0 meV per atom. The calculation puts the electronic total energy at -5.47 eV/atom.

Unit cell a=3.7820 b=3.7820 c=13.0890 alpha=90.00 beta=90.00 gamma=90.00
Fractional coordinates of all 6 atoms:
Sr1 0.0000 0.0000 0.0000
Sr2 0.5000 0.5000 0.5000
Y1 0.0000 0.0000 0.2780
Y2 0.5000 0.5000 0.7780
Cr1 0.0000 0.0000 0.6632
Cr2 0.5000 0.5000 0.1632

---

The following is a DFT calculation (PBE) of SrYCr2 after structural relaxation.

Computed properties:
The formation energy is 0.73 eV per atom. For the distance to the lowest polymorph of the same formula, the calculation gives 250 meV per atom. The calculation puts the electronic total energy at -6.12 eV/atom.

Unit cell a=3.4833 b=4.5231 c=6.7447 alpha=90.00 beta=90.00 gamma=90.00
Fractional coordinates of all 4 atoms:
Sr1 0.0000 0.0000 0.0000
Y1 0.0000 0.0000 0.5000
Cr1 0.5000 0.5000 0.3633
Cr2 0.5000 0.5000 0.6367

---

The following is a DFT calculation (PBE) of SrYCr2 after structural relaxation.

Computed properties:
The formation energy is 0.91 eV per atom. For the distance to the lowest polymorph of the same formula, the calculation gives 425 meV per atom. The calculation puts the electronic total energy at -5.94 eV/atom.

Unit cell a=3.6268 b=3.6268 c=29.7073 alpha=90.00 beta=90.00 gamma=120.00
Fractional coordinates of all 12 atoms:
Sr1 0.0000 0.0000 0.0000
Sr2 0.3333 0.6667 0.6667
Sr3 0.6667 0.3333 0.3333
Y1 0.0000 0.0000 0.5000
Y2 0.3333 0.6667 0.1667
Y3 0.6667 0.3333 0.8333
Cr1 0.0000 0.0000 0.2440
Cr2 0.0000 0.0000 0.7560
Cr3 0.3333 0.6667 0.4227
Cr4 0.3333 0.6667 0.9106
Cr5 0.6667 0.3333 0.0894
Cr6 0.6667 0.3333 0.5773

---

The following is a DFT calculation (PBE) of Sr3YCr after structural relaxation.

Computed properties:
The formation energy is 1.29 eV per atom. For the distance to the lowest polymorph of the same formula, the calculation gives 592 meV per atom. The calculation puts the electronic total energy at -2.94 eV/atom.

Unit cell a=6.3892 b=6.3892 c=6.3892 alpha=90.00 beta=90.00 gamma=90.00
Fractional coordinates of all 5 atoms:
Sr1 0.0000 0.0000 0.5000
Sr2 0.0000 0.5000 0.0000
Sr3 0.5000 0.0000 0.0000
Y1 0.0000 0.0000 0.0000
Cr1 0.5000 0.5000 0.5000

---

The following is a DFT calculation (PBE) of SrYCr2 after structural relaxation.

Computed properties:
The formation energy is 0.63 eV per atom. For the distance to the lowest polymorph of the same formula, the calculation gives 148 meV per atom. The calculation puts the electronic total energy at -6.22 eV/atom.

Unit cell a=3.7330 b=3.7330 c=7.7776 alpha=90.00 beta=90.00 gamma=90.00
Fractional coordinates of all 4 atoms:
Sr1 0.0000 0.0000 0.0000
Y1 0.0000 0.0000 0.5000
Cr1 0.5000 0.5000 0.2884
Cr2 0.5000 0.5000 0.7116

---

The following is a DFT calculation (PBE) of SrYCr2 after structural relaxation.

Computed properties:
The formation energy is 0.55 eV per atom. For the distance to the lowest polymorph of the same formula, the calculation gives 70 meV per atom. The calculation puts the electronic total energy at -6.30 eV/atom.

Unit cell a=3.7688 b=5.2630 c=10.4213 alpha=90.00 beta=90.00 gamma=90.00
Fractional coordinates of all 8 atoms:
Sr1 0.0000 0.0000 0.0000
Sr2 0.5000 0.5000 0.5000
Y1 0.0000 0.5000 0.7892
Y2 0.5000 0.0000 0.2892
Cr1 0.0000 0.0000 0.5898
Cr2 0.0000 0.5000 0.2262
Cr3 0.5000 0.0000 0.7262
Cr4 0.5000 0.5000 0.0898

---

The following is a DFT calculation (PBE) of SrYCr after structural relaxation.

Computed properties:
The formation energy is 0.68 eV per atom. For the distance to the lowest polymorph of the same formula, the calculation gives 221 meV per atom. The calculation puts the electronic total energy at -5.25 eV/atom.

Unit cell a=5.4485 b=5.4485 c=3.6305 alpha=90.00 beta=90.00 gamma=120.00
Fractional coordinates of all 3 atoms:
Sr1 0.0000 0.0000 0.0000
Y1 0.6667 0.3333 0.4054
Cr1 0.3333 0.6667 0.6635

---

The following is a DFT calculation (PBE) of SrYCr2 after structural relaxation.

Computed properties:
The formation energy is 0.48 eV per atom. For the distance to the lowest polymorph of the same formula, the calculation gives 0 meV per atom. The calculation puts the electronic total energy at -6.37 eV/atom.

Unit cell a=3.4087 b=3.4087 c=8.7669 alpha=90.00 beta=90.00 gamma=90.00
Fractional coordinates of all 4 atoms:
Sr1 0.0000 0.0000 0.0000
Y1 0.5000 0.5000 0.3765
Cr1 0.0000 0.0000 0.6167
Cr2 0.5000 0.5000 0.7109

---

The following is a DFT calculation (PBE) of SrYCr after structural relaxation.

Computed properties:
The formation energy is 0.77 eV per atom. For the distance to the lowest polymorph of the same formula, the calculation gives 317 meV per atom. The calculation puts the electronic total energy at -5.15 eV/atom.

Unit cell a=7.5087 b=7.5087 c=7.5087 alpha=90.00 beta=90.00 gamma=90.00
Fractional coordinates of all 12 atoms:
Sr1 0.0000 0.0000 0.0000
Sr2 0.0000 0.5000 0.5000
Sr3 0.5000 0.0000 0.5000
Sr4 0.5000 0.5000 0.0000
Y1 0.0000 0.0000 0.5000
Y2 0.0000 0.5000 0.0000
Y3 0.5000 0.0000 0.0000
Y4 0.5000 0.5000 0.5000
Cr1 0.2500 0.2500 0.2500
Cr2 0.2500 0.7500 0.7500
Cr3 0.7500 0.2500 0.7500
Cr4 0.7500 0.7500 0.2500

---

The following is a DFT calculation (PBE) of Sr3YCr after structural relaxation.

Computed properties:
The formation energy is 0.70 eV per atom. For the distance to the lowest polymorph of the same formula, the calculation gives 0 meV per atom. The calculation puts the electronic total energy at -3.53 eV/atom.

Unit cell a=6.0869 b=6.0869 c=6.0869 alpha=90.00 beta=90.00 gamma=90.00
Fractional coordinates of all 5 atoms:
Sr1 0.0000 0.0000 0.5000
Sr2 0.0000 0.5000 0.0000
Sr3 0.5000 0.0000 0.0000
Y1 0.5000 0.5000 0.5000
Cr1 0.0000 0.0000 0.0000

---

The following is a DFT calculation (PBE) of SrZnCr4 after structural relaxation.

Computed properties:
The formation energy is 0.82 eV per atom. The calculation puts the electronic total energy at -6.08 eV/atom.

Unit cell a=5.0959 b=5.0959 c=5.0959 alpha=60.00 beta=60.00 gamma=60.00
Fractional coordinates of all 6 atoms:
Sr1 0.0000 0.0000 0.0000
Zn1 0.7500 0.7500 0.7500
Cr1 0.3754 0.3754 0.3754
Cr2 0.3754 0.3754 0.8737
Cr3 0.3754 0.8737 0.3754
Cr4 0.8737 0.3754 0.3754

---

The following is a DFT calculation (PBE) of SrZn4Cr after structural relaxation.

Computed properties:
The formation energy is 0.03 eV per atom. The calculation puts the electronic total energy at -2.70 eV/atom.

Unit cell a=5.3973 b=5.3973 c=5.3973 alpha=60.00 beta=60.00 gamma=60.00
Fractional coordinates of all 6 atoms:
Sr1 0.0000 0.0000 0.0000
Zn1 0.1297 0.6234 0.6234
Zn2 0.6234 0.1297 0.6234
Zn3 0.6234 0.6234 0.1297
Zn4 0.6234 0.6234 0.6234
Cr1 0.2500 0.2500 0.2500

---

The following is a DFT calculation (PBE) of Sr2ZrCr after structural relaxation.

Computed properties:
The formation energy is 0.87 eV per atom. For the distance to the lowest polymorph of the same formula, the calculation gives 420 meV per atom. The calculation puts the electronic total energy at -4.51 eV/atom.

Unit cell a=8.0356 b=8.0356 c=8.0356 alpha=90.00 beta=90.00 gamma=90.00
Fractional coordinates of all 16 atoms:
Sr1 0.2500 0.2500 0.2500
Sr2 0.2500 0.2500 0.7500
Sr3 0.2500 0.7500 0.2500
Sr4 0.2500 0.7500 0.7500
Sr5 0.7500 0.2500 0.2500
Sr6 0.7500 0.2500 0.7500
Sr7 0.7500 0.7500 0.2500
Sr8 0.7500 0.7500 0.7500
Zr1 0.0000 0.0000 0.0000
Zr2 0.0000 0.5000 0.5000
Zr3 0.5000 0.0000 0.5000
Zr4 0.5000 0.5000 0.0000
Cr1 0.0000 0.0000 0.5000
Cr2 0.0000 0.5000 0.0000
Cr3 0.5000 0.0000 0.0000
Cr4 0.5000 0.5000 0.5000

---

The following is a DFT calculation (PBE) of SrZrCr2 after structural relaxation.

Computed properties:
The formation energy is 1.19 eV per atom. For the distance to the lowest polymorph of the same formula, the calculation gives 696 meV per atom. The calculation puts the electronic total energy at -6.18 eV/atom.

Unit cell a=5.0088 b=5.0088 c=18.0199 alpha=90.00 beta=90.00 gamma=90.00
Fractional coordinates of all 16 atoms:
Sr1 0.0000 0.2500 0.3750
Sr2 0.0000 0.7500 0.6250
Sr3 0.5000 0.2500 0.1250
Sr4 0.5000 0.7500 0.8750
Zr1 0.0000 0.2500 0.8750
Zr2 0.0000 0.7500 0.1250
Zr3 0.5000 0.2500 0.6250
Zr4 0.5000 0.7500 0.3750
Cr1 0.0000 0.0000 0.0000
Cr2 0.0000 0.5000 0.0000
Cr3 0.2500 0.2500 0.7500
Cr4 0.2500 0.7500 0.2500
Cr5 0.5000 0.0000 0.5000
Cr6 0.5000 0.5000 0.5000
Cr7 0.7500 0.2500 0.7500
Cr8 0.7500 0.7500 0.2500

---

The following is a DFT calculation (PBE) of Sr2ZrCr after structural relaxation.

Computed properties:
The formation energy is 0.84 eV per atom. For the distance to the lowest polymorph of the same formula, the calculation gives 382 meV per atom. The calculation puts the electronic total energy at -4.55 eV/atom.

Unit cell a=5.8438 b=5.8438 c=3.8124 alpha=90.00 beta=90.00 gamma=90.00
Fractional coordinates of all 4 atoms:
Sr1 0.0000 0.5000 0.0000
Sr2 0.5000 0.0000 0.0000
Zr1 0.0000 0.0000 0.5000
Cr1 0.5000 0.5000 0.5000

---

The following is a DFT calculation (PBE) of Sr2ZrCr after structural relaxation.

Computed properties:
The formation energy is 0.85 eV per atom. For the distance to the lowest polymorph of the same formula, the calculation gives 399 meV per atom. The calculation puts the electronic total energy at -4.53 eV/atom.

Unit cell a=3.6061 b=3.6061 c=34.0559 alpha=90.00 beta=90.00 gamma=120.00
Fractional coordinates of all 12 atoms:
Sr1 0.0000 0.0000 0.2480
Sr2 0.0000 0.0000 0.7520
Sr3 0.3333 0.6667 0.4186
Sr4 0.3333 0.6667 0.9147
Sr5 0.6667 0.3333 0.0853
Sr6 0.6667 0.3333 0.5814
Zr1 0.0000 0.0000 0.0000
Zr2 0.3333 0.6667 0.6667
Zr3 0.6667 0.3333 0.3333
Cr1 0.0000 0.0000 0.5000
Cr2 0.3333 0.6667 0.1667
Cr3 0.6667 0.3333 0.8333

---

The following is a DFT calculation (PBE) of Sr3ZrCr after structural relaxation.

Computed properties:
The formation energy is 1.73 eV per atom. For the distance to the lowest polymorph of the same formula, the calculation gives 592 meV per atom. The calculation puts the electronic total energy at -2.92 eV/atom.

Unit cell a=6.0155 b=6.0155 c=6.0155 alpha=90.00 beta=90.00 gamma=90.00
Fractional coordinates of all 5 atoms:
Sr1 0.0000 0.0000 0.5000
Sr2 0.0000 0.5000 0.0000
Sr3 0.5000 0.0000 0.0000
Zr1 0.0000 0.0000 0.0000
Cr1 0.5000 0.5000 0.5000

---

The following is a DFT calculation (PBE) of SrZrCr2 after structural relaxation.

Computed properties:
The formation energy is 0.60 eV per atom. For the distance to the lowest polymorph of the same formula, the calculation gives 110 meV per atom. The calculation puts the electronic total energy at -6.76 eV/atom.

Unit cell a=3.4725 b=3.4725 c=7.7054 alpha=90.00 beta=90.00 gamma=90.00
Fractional coordinates of all 4 atoms:
Sr1 0.0000 0.0000 0.0000
Zr1 0.0000 0.0000 0.5000
Cr1 0.5000 0.5000 0.3063
Cr2 0.5000 0.5000 0.6937

---

The following is a DFT calculation (PBE) of Sr2ZrCr after structural relaxation.

Computed properties:
The formation energy is 0.92 eV per atom. For the distance to the lowest polymorph of the same formula, the calculation gives 461 meV per atom. The calculation puts the electronic total energy at -4.47 eV/atom.

Unit cell a=11.6252 b=11.6252 c=4.8447 alpha=90.00 beta=90.00 gamma=90.00
Fractional coordinates of all 16 atoms:
Sr1 0.0971 0.2500 0.1250
Sr2 0.2500 0.5971 0.3750
Sr3 0.2500 0.9029 0.8750
Sr4 0.4029 0.2500 0.6250
Sr5 0.5971 0.7500 0.6250
Sr6 0.7500 0.0971 0.8750
Sr7 0.7500 0.4029 0.3750
Sr8 0.9029 0.7500 0.1250
Zr1 0.0000 0.0000 0.5000
Zr2 0.0000 0.5000 0.7500
Zr3 0.5000 0.0000 0.2500
Zr4 0.5000 0.5000 0.0000
Cr1 0.0000 0.0000 0.0000
Cr2 0.0000 0.5000 0.2500
Cr3 0.5000 0.0000 0.7500
Cr4 0.5000 0.5000 0.5000

---

The following is a DFT calculation (PBE) of SrZrCr2 after structural relaxation.

Computed properties:
The formation energy is 0.88 eV per atom. For the distance to the lowest polymorph of the same formula, the calculation gives 384 meV per atom. The calculation puts the electronic total energy at -6.49 eV/atom.

Unit cell a=7.0690 b=7.0690 c=7.0690 alpha=90.00 beta=90.00 gamma=90.00
Fractional coordinates of all 16 atoms:
Sr1 0.0000 0.0000 0.0000
Sr2 0.0000 0.5000 0.5000
Sr3 0.5000 0.0000 0.5000
Sr4 0.5000 0.5000 0.0000
Zr1 0.2500 0.2500 0.7500
Zr2 0.2500 0.7500 0.2500
Zr3 0.7500 0.2500 0.2500
Zr4 0.7500 0.7500 0.7500
Cr1 0.0000 0.0000 0.5000
Cr2 0.0000 0.5000 0.0000
Cr3 0.2500 0.2500 0.2500
Cr4 0.2500 0.7500 0.7500
Cr5 0.5000 0.0000 0.0000
Cr6 0.5000 0.5000 0.5000
Cr7 0.7500 0.2500 0.7500
Cr8 0.7500 0.7500 0.2500